The following is a DFT calculation (GGA-PBE) of KTeAu3 after structural relaxation.

Properties
- Energy relative to the elements, uncorrected: -0.037 eV per atom
- Density of states at the Fermi level: 1.0 states/eV/f.u.
- Total energy: -2.8518 eV per atom
- Excess energy over the best structure of this formula in the dataset: 0.000 eV per atom
- Symmetry: Pm-3m (221)
- Size of the total moment: 0.00 μB/atom

Cell and atoms, written as POSCAR:
```
KTeAu3
1.0
5.462 0.000 0.000
0.000 5.462 0.000
0.000 0.000 5.462
K Te Au
1 1 3
Cartesian
0.000 0.000 0.000
2.731 2.731 2.731
0.000 2.731 2.731
2.731 0.000 2.731
2.731 2.731 0.000
```